No. 1
# Ta2ZnBi (PBE-GGA, optimized geometry)
# Magnetic moment   0.00 μB per formula unit
# Distance to the lowest polymorph of the same formula   9.4 meV/atom
data_Ta2ZnBi
_chemical_formula_sum 'Ta8 Zn4 Bi4'
_space_group_name_H-M_alt 'I -4 2 d'
_space_group_IT_number 122
_space_group_name_Hall 'I -4 2bw'
_cell_length_a 4.0204
_cell_length_b 4.0204
_cell_length_c 20.6621
_cell_angle_alpha 90.00
_cell_angle_beta 90.00
_cell_angle_gamma 90.00
loop_
_atom_site_label
_atom_site_type_symbol
_atom_site_fract_x
_atom_site_fract_y
_atom_site_fract_z
Ta1 Ta 0.2424 0.2500 0.1250
Zn1 Zn 0.0000 0.0000 0.0000
Bi1 Bi 0.0000 0.0000 0.5000



No. 2
# Nd3Al2Zn7 (PBE-GGA, optimized geometry)
# Energy   -2.746 eV/atom
# Magnetic moment   0.00 μB per formula unit
data_Nd3Al2Zn7
_chemical_formula_sum 'Nd6 Al4 Zn14'
_space_group_name_H-M_alt 'I 4/m m m'
_space_group_IT_number 139
_space_group_name_Hall '-I 4 2'
_cell_length_a 4.2940
_cell_length_b 4.2940
_cell_length_c 27.9057
_cell_angle_alpha 90.00
_cell_angle_beta 90.00
_cell_angle_gamma 90.00
loop_
_atom_site_label
_atom_site_type_symbol
_atom_site_fract_x
_atom_site_fract_y
_atom_site_fract_z
Nd1 Nd 0.0000 0.0000 0.0000
Nd2 Nd 0.0000 0.0000 0.1681
Al1 Al 0.0000 0.0000 0.3686
Zn1 Zn 0.0000 0.0000 0.2771
Zn2 Zn 0.0000 0.0000 0.5000
Zn3 Zn 0.0000 0.5000 0.0792